SmPd2 after structural relaxation. Source: the Open Quantum Materials Database, functional PBE.

The space group is Pnma (No. 62) and the conventional cell measures 5.8956, 4.3820 and 9.2083 Å, with angles of 90.00, 90.00 and 90.00 degrees. Symmetry generates all atoms from Sm at (0.1826, 0.2500, 0.0993), Pd at (0.0713, 0.2500, 0.7479) and Pd at (0.1732, 0.2500, 0.4109).

Its crystal system is orthorhombic. As for the energy of formation: -76 kJ per mole of atoms. The total magnetic moment is 0.00 Bohr magnetons per cell.

=====

SmPd after structural relaxation. Source: the Open Quantum Materials Database, functional PBE.

The space group is P-6m2 (No. 187) and the conventional cell measures 3.5428, 3.5428 and 4.2363 Å, with angles of 90.00, 90.00 and 120.00 degrees. Symmetry generates all atoms from Sm at (0.0000, 0.0000, 0.0000) and Pd at (0.3333, 0.6667, 0.5000).

Its crystal system is hexagonal. As for the energy of formation: -48 kJ per mole of atoms. The total magnetic moment is 0.01 Bohr magnetons per cell.

=====

Sm3Pd4 after structural relaxation. Source: the Open Quantum Materials Database, functional PBE.

The space group is R-3 (No. 148, hexagonal axes) and the conventional cell measures 13.4978, 13.4978 and 5.8198 Å, with angles of 90.00, 90.00 and 120.00 degrees. Symmetry generates all atoms from Sm at (0.0414, 0.2099, 0.2370), Pd at (0.0000, 0.0000, 0.0000), Pd at (0.0000, 0.0000, 0.5000) and Pd at (0.0540, 0.2727, 0.7214).

Its crystal system is trigonal. As for the energy of formation: -84 kJ per mole of atoms. The total magnetic moment is 0.01 Bohr magnetons per cell.

=====

Sm2Pd after structural relaxation. Source: the Open Quantum Materials Database, functional PBE.

The space group is Fd-3m (No. 227, origin choice 2) and the conventional cell measures 12.3905, 12.3905 and 12.3905 Å, with angles of 90.00, 90.00 and 90.00 degrees. Symmetry generates all atoms from Sm at (0.0000, 0.0000, 0.0000) and Pd at (0.1250, 0.1250, 0.1250).

Its crystal system is cubic. As for the energy of formation: 90 kJ per mole of atoms. The total magnetic moment is 4.19 Bohr magnetons per cell.

=====

Sm3Pd after structural relaxation. Source: the Open Quantum Materials Database, functional PBE.

The space group is Pnma (No. 62) and the conventional cell measures 7.2079, 9.8952 and 6.5172 Å, with angles of 90.00, 90.00 and 90.00 degrees. Symmetry generates all atoms from Sm at (0.0242, 0.2500, 0.1367), Sm at (0.1814, 0.0592, 0.6690) and Pd at (0.1135, 0.7500, 0.4307).

Its crystal system is orthorhombic. As for the energy of formation: -42 kJ per mole of atoms. The total magnetic moment is 0.00 Bohr magnetons per cell.

=====

SmPd3 after structural relaxation. Source: the Open Quantum Materials Database, functional PBE.

The space group is Pm-3m (No. 221) and the conventional cell measures 4.1601, 4.1601 and 4.1601 Å, with angles of 90.00, 90.00 and 90.00 degrees. Symmetry generates all atoms from Sm at (0.0000, 0.0000, 0.0000) and Pd at (0.0000, 0.5000, 0.5000).

Its crystal system is cubic. As for the energy of formation: -80 kJ per mole of atoms. The total magnetic moment is 0.00 Bohr magnetons per cell.

=====

Sm2Pd after structural relaxation. Source: the Open Quantum Materials Database, functional PBE.

The space group is Fd-3m (No. 227, origin choice 2) and the conventional cell measures 8.6008, 8.6008 and 8.6008 Å, with angles of 90.00, 90.00 and 90.00 degrees. Symmetry generates all atoms from Sm at (0.0000, 0.0000, 0.0000) and Pd at (0.1250, 0.1250, 0.6250).

Its crystal system is cubic. As for the energy of formation: 40 kJ per mole of atoms. The total magnetic moment is 0.05 Bohr magnetons per cell.

=====

SmPd after structural relaxation. Source: the Open Quantum Materials Database, functional PBE.

The space group is F-43m (No. 216) and the conventional cell measures 6.4241, 6.4241 and 6.4241 Å, with angles of 90.00, 90.00 and 90.00 degrees. Symmetry generates all atoms from Sm at (0.0000, 0.0000, 0.0000) and Pd at (0.2500, 0.2500, 0.2500).

Its crystal system is cubic. As for the energy of formation: -9 kJ per mole of atoms. The total magnetic moment is 2.32 Bohr magnetons per cell.

=====

SmPd after structural relaxation. Source: the Open Quantum Materials Database, functional PBE.

The space group is P6_3/mmc (No. 194) and the conventional cell measures 4.4625, 4.4625 and 5.7752 Å, with angles of 90.00, 90.00 and 120.00 degrees. Symmetry generates all atoms from Sm at (0.3333, 0.6667, 0.2500) and Pd at (0.0000, 0.0000, 0.0000).

Its crystal system is hexagonal. As for the energy of formation: -74 kJ per mole of atoms. The total magnetic moment is 0.00 Bohr magnetons per cell.

=====

SmPd after structural relaxation. Source: the Open Quantum Materials Database, functional PBE.

The space group is P6_3/mmc (No. 194) and the conventional cell measures 3.9954, 3.9954 and 7.2360 Å, with angles of 90.00, 90.00 and 120.00 degrees. Symmetry generates all atoms from Sm at (0.0000, 0.0000, 0.0000) and Pd at (0.3333, 0.6667, 0.2500).

Its crystal system is hexagonal. As for the energy of formation: -61 kJ per mole of atoms. The total magnetic moment is 0.01 Bohr magnetons per cell.

=====

SmPd after structural relaxation. Source: the Open Quantum Materials Database, functional PBE.

The space group is Cmcm (No. 63) and the conventional cell measures 3.8235, 10.7634 and 4.6028 Å, with angles of 90.00, 90.00 and 90.00 degrees. Symmetry generates all atoms from Sm at (0.0000, 0.1365, 0.2500) and Pd at (0.0000, 0.4136, 0.2500).

Its crystal system is orthorhombic. As for the energy of formation: -83 kJ per mole of atoms. The total magnetic moment is 0.03 Bohr magnetons per cell.

=====

Sm2SnPd after structural relaxation. Source: the Open Quantum Materials Database, functional PBE.

The space group is Amm2 (No. 38) and the conventional cell measures 4.5864, 4.0273 and 11.3911 Å, with angles of 90.00, 90.00 and 90.00 degrees. Symmetry generates all atoms from Sm at (0.0000, 0.0000, 0.0000), Sm at (0.5000, 0.0000, 0.2858), Sn at (0.5000, 0.0000, 0.5663) and Pd at (0.0000, 0.0000, 0.7273).

Its crystal system is orthorhombic. As for the total DFT energy (no corrections): -0.199 hartree per atom. The total magnetic moment is 0.03 Bohr magnetons per cell.

=====

SmSn2Pd2 after structural relaxation. Source: the Open Quantum Materials Database, functional PBE.

The space group is I4/mmm (No. 139) and the conventional cell measures 4.5532, 4.5532 and 10.8193 Å, with angles of 90.00, 90.00 and 90.00 degrees. Symmetry generates all atoms from Sm at (0.0000, 0.0000, 0.0000), Sn at (0.0000, 0.0000, 0.3732) and Pd at (0.0000, 0.5000, 0.2500).

Its crystal system is tetragonal. As for the total DFT energy (no corrections): -0.195 hartree per atom. The total magnetic moment is 0.01 Bohr magnetons per cell.

=====

SmTm2Sn4Pd4 after structural relaxation. Source: the Open Quantum Materials Database, functional PBE.

The space group is Immm (No. 71) and the conventional cell measures 4.3713, 7.4415 and 14.6311 Å, with angles of 90.00, 90.00 and 90.00 degrees. Symmetry generates all atoms from Sm at (0.0000, 0.0000, 0.0000), Tm at (0.0000, 0.5000, 0.1288), Sn at (0.0000, 0.0000, 0.2166), Sn at (0.0000, 0.1943, 0.5000) and Pd at (0.0000, 0.2979, 0.3226).

Its crystal system is orthorhombic. As for the total DFT energy (no corrections): -0.198 hartree per atom. The total magnetic moment is 0.02 Bohr magnetons per cell.

=====

SmYSn2Pd4 after structural relaxation. Source: the Open Quantum Materials Database, functional PBE.

The space group is P-6m2 (No. 187) and the conventional cell measures 4.6110, 4.6110 and 9.0283 Å, with angles of 90.00, 90.00 and 120.00 degrees. Symmetry generates all atoms from Sm at (0.0000, 0.0000, 0.0000), Y at (0.6667, 0.3333, 0.5000), Sn at (0.3333, 0.6667, 0.2560), Pd at (0.0000, 0.0000, 0.3367) and Pd at (0.6667, 0.3333, 0.1676).

Its crystal system is hexagonal. As for the total DFT energy (no corrections): -0.215 hartree per atom. The total magnetic moment is 0.01 Bohr magnetons per cell.

=====

SmYSnPd2 after structural relaxation. Source: the Open Quantum Materials Database, functional PBE.

The space group is Amm2 (No. 38) and the conventional cell measures 3.6483, 4.2908 and 14.6958 Å, with angles of 90.00, 90.00 and 90.00 degrees. Symmetry generates all atoms from Sm at (0.0000, 0.0000, 0.0000), Y at (0.0000, 0.0000, 0.2607), Sn at (0.5000, 0.0000, 0.6317), Pd at (0.5000, 0.0000, 0.4394) and Pd at (0.5000, 0.0000, 0.8203).

Its crystal system is orthorhombic. As for the total DFT energy (no corrections): -0.220 hartree per atom. The total magnetic moment is 0.01 Bohr magnetons per cell.

=====

SrSmPd after structural relaxation. Source: the Open Quantum Materials Database, functional PBE.

The space group is F-43m (No. 216) and the conventional cell measures 7.2123, 7.2123 and 7.2123 Å, with angles of 90.00, 90.00 and 90.00 degrees. Symmetry generates all atoms from Sr at (0.0000, 0.0000, 0.0000), Sm at (0.0000, 0.0000, 0.5000) and Pd at (0.2500, 0.2500, 0.7500).

Its crystal system is cubic. As for the total DFT energy (no corrections): -0.154 hartree per atom. The total magnetic moment is 0.01 Bohr magnetons per cell.

=====

SmTaPd after structural relaxation. Source: the Open Quantum Materials Database, functional PBE.

The space group is F-43m (No. 216) and the conventional cell measures 6.6110, 6.6110 and 6.6110 Å, with angles of 90.00, 90.00 and 90.00 degrees. Symmetry generates all atoms from Sm at (0.0000, 0.0000, 0.0000), Ta at (0.0000, 0.0000, 0.5000) and Pd at (0.2500, 0.2500, 0.2500).

Its crystal system is cubic. As for the energy of formation: 34 kJ per mole of atoms. The total magnetic moment is 4.60 Bohr magnetons per cell.

=====

SmTaPd after structural relaxation. Source: the Open Quantum Materials Database, functional PBE.

The space group is F-43m (No. 216) and the conventional cell measures 6.5682, 6.5682 and 6.5682 Å, with angles of 90.00, 90.00 and 90.00 degrees. Symmetry generates all atoms from Sm at (0.0000, 0.0000, 0.0000), Ta at (0.2500, 0.2500, 0.2500) and Pd at (0.2500, 0.2500, 0.7500).

Its crystal system is cubic. As for the energy of formation: 109 kJ per mole of atoms. The total magnetic moment is 5.00 Bohr magnetons per cell.

=====

TbSm4Pd3 after structural relaxation. Source: the Open Quantum Materials Database, functional PBE.

The space group is I4/mmm (No. 139) and the conventional cell measures 5.9660, 5.9660 and 12.0648 Å, with angles of 90.00, 90.00 and 90.00 degrees. Symmetry generates all atoms from Tb at (0.0000, 0.0000, 0.0000), Sm at (0.0000, 0.0000, 0.2766), Sm at (0.0000, 0.5000, 0.0000), Pd at (0.0000, 0.0000, 0.5000) and Pd at (0.0000, 0.5000, 0.2500).

Its crystal system is tetragonal. As for the energy of formation: -22 kJ per mole of atoms. The total magnetic moment is 0.12 Bohr magnetons per cell.